Arrangement i

Entry from OQMD: an optimized crystal structure of ZrBeInCo (PBE).

Space-group type = F-43m (216)

```
4
Lattice="0.0000 3.1607 3.1607 3.1607 0.0000 3.1607 3.1607 3.1607 0.0000" Properties=species:S:1:pos:R:3 pbc="T T T"
In 0.0000 0.0000 0.0000
Co 4.7411 4.7411 4.7411
Be 3.1607 3.1607 3.1607
Zr 1.5804 1.5804 1.5804
```



Arrangement ii

Entry from OQMD: an optimized crystal structure of ZrBeInCo (PBE).

Space-group type = F-43m (216)

```
4
Lattice="0.0000 3.1444 3.1444 3.1444 0.0000 3.1444 3.1444 3.1444 0.0000" Properties=species:S:1:pos:R:3 pbc="T T T"
Zr 1.5722 1.5722 1.5722
Be 4.7166 4.7166 4.7166
In 3.1444 3.1444 3.1444
Co 0.0000 0.0000 0.0000
```



Relative energies with respect to the most stable structure, expressed in meV per atom: arrangement i 22; arrangement ii 0.



Arrangement i

Entry from OQMD: an optimized crystal structure of BeCoSiIr (PBE).

Space-group type = F-43m (216)

```
4
Lattice="0.0000 2.8413 2.8413 2.8413 0.0000 2.8413 2.8413 2.8413 0.0000" Properties=species:S:1:pos:R:3 pbc="T T T"
Si 0.0000 0.0000 0.0000
Be 1.4207 1.4207 1.4207
Ir 2.8413 2.8413 2.8413
Co 4.2620 4.2620 4.2620
```



Arrangement ii

Entry from OQMD: an optimized crystal structure of BeCoSiIr (PBE).

Space-group type = F-43m (216)

```
4
Lattice="1.8093 -3.0246 1.7936 -1.8872 -2.0501 2.8061 -1.1728 -3.7090 -0.7119" Properties=species:S:1:pos:R:3 pbc="T T T"
Si 0.0000 0.0000 0.0000
Co -0.9380 -6.5878 2.9159
Be -0.6253 -4.3918 1.9439
Ir -0.3127 -2.1959 0.9720
```



Relative energies with respect to the most stable structure, expressed in meV per atom: arrangement i 571; arrangement ii 0.



Arrangement i

Entry from OQMD: an optimized crystal structure of KBeCoW (PBE).

Space-group type = F-43m (216)

```
4
Lattice="-0.6765 -3.9714 1.7901 -1.2855 -0.3330 4.2036 -4.0968 -1.3187 0.9543" Properties=species:S:1:pos:R:3 pbc="T T T"
Co -3.0294 -2.8115 3.4740
Be -4.5441 -4.2173 5.2109
W 0.0000 0.0000 0.0000
K -1.5147 -1.4058 1.7370
```



Arrangement ii

Entry from OQMD: an optimized crystal structure of KBeCoW (PBE).

Space-group type = F-43m (216)

```
4
Lattice="0.0000 3.1824 3.1824 3.1824 0.0000 3.1824 3.1824 3.1824 0.0000" Properties=species:S:1:pos:R:3 pbc="T T T"
Co 1.5912 1.5912 1.5912
Be 4.7737 4.7736 4.7737
W 0.0000 0.0000 0.0000
K 3.1824 3.1824 3.1824
```



Arrangement iii

Entry from OQMD: an optimized crystal structure of KBeCoW (PBE).

Space-group type = F-43m (216)

```
4
Lattice="0.0000 3.0777 3.0777 3.0777 0.0000 3.0777 3.0777 3.0777 0.0000" Properties=species:S:1:pos:R:3 pbc="T T T"
Be 4.6165 4.6165 4.6165
Co 0.0000 0.0000 0.0000
K 3.0777 3.0777 3.0777
W 1.5388 1.5388 1.5388
```



Relative energies with respect to the most stable structure, expressed in meV per atom: arrangement i 435; arrangement ii 61; arrangement iii 0.



Arrangement i

Entry from OQMD: an optimized crystal structure of LaBeCoSn (PBE).

Space-group type = F-43m (216)

```
4
Lattice="-2.2520 -3.3016 -2.7270 -3.5029 -2.7352 1.9122 -4.6021 0.6884 -1.3250" Properties=species:S:1:pos:R:3 pbc="T T T"
Be -7.7677 -4.0112 -1.6048
Co -5.1785 -2.6742 -1.0699
Sn 0.0000 0.0000 0.0000
La -2.5892 -1.3371 -0.5349
```



Arrangement ii

Entry from OQMD: an optimized crystal structure of LaBeCoSn (PBE).

Space-group type = F-43m (216)

```
4
Lattice="0.0000 3.3140 3.3140 3.3140 0.0000 3.3140 3.3140 3.3140 0.0000" Properties=species:S:1:pos:R:3 pbc="T T T"
Sn 0.0000 0.0000 0.0000
Co 1.6570 1.6570 1.6570
Be 4.9709 4.9709 4.9709
La 3.3140 3.3140 3.3140
```



Relative energies with respect to the most stable structure, expressed in meV per atom: arrangement i 345; arrangement ii 0.



Arrangement i

Entry from OQMD: an optimized crystal structure of LaZrBeCo (PBE).

Space-group type = F-43m (216)

```
4
Lattice="0.0000 3.2640 3.2640 3.2640 0.0000 3.2640 3.2640 3.2640 0.0000" Properties=species:S:1:pos:R:3 pbc="T T T"
Co 0.0000 0.0000 0.0000
La 3.2640 3.2640 3.2640
Zr 1.6320 1.6320 1.6320
Be 4.8960 4.8960 4.8960
```



Arrangement ii

Entry from OQMD: an optimized crystal structure of LaZrBeCo (PBE).

Space-group type = F-43m (216)

```
4
Lattice="0.0000 3.3603 3.3603 3.3603 0.0000 3.3603 3.3603 3.3603 0.0000" Properties=species:S:1:pos:R:3 pbc="T T T"
La 3.3603 3.3603 3.3603
Zr 0.0000 0.0000 0.0000
Be 5.0405 5.0405 5.0405
Co 1.6802 1.6802 1.6802
```



Relative energies with respect to the most stable structure, expressed in meV per atom: arrangement i 121; arrangement ii 0.



Arrangement i

Entry from OQMD: an optimized crystal structure of LiBeCoSb (PBE).

Space-group type = F-43m (216)

```
4
Lattice="0.3268 -1.1116 3.9913 -1.6832 2.3779 2.9639 -3.3526 -1.3216 2.0702" Properties=species:S:1:pos:R:3 pbc="T T T"
Co -1.1773 -0.0138 2.2563
Sb 0.0000 0.0000 0.0000
Li -3.5318 -0.0415 6.7690
Be -2.3546 -0.0276 4.5127
```



Arrangement ii

Entry from OQMD: an optimized crystal structure of LiBeCoSb (PBE).

Space-group type = F-43m (216)

```
4
Lattice="-1.2648 -3.7843 -1.1718 -2.1685 -2.3762 2.6353 -4.0367 -0.7217 -0.6912" Properties=species:S:1:pos:R:3 pbc="T T T"
Co -5.6025 -5.1616 0.5792
Be 0.0000 0.0000 0.0000
Li -3.7350 -3.4411 0.3861
Sb -1.8675 -1.7206 0.1931
```



Relative energies with respect to the most stable structure, expressed in meV per atom: arrangement i 0; arrangement ii 262.



Arrangement i

Entry from OQMD: an optimized crystal structure of LuBeCoPb (PBE).

Space-group type = F-43m (216)

```
4
Lattice="0.0000 3.2975 3.2975 3.2975 0.0000 3.2975 3.2975 3.2975 0.0000" Properties=species:S:1:pos:R:3 pbc="T T T"
Pb 3.2975 3.2975 3.2975
Be 4.9462 4.9462 4.9462
Lu 1.6487 1.6487 1.6487
Co 0.0000 0.0000 0.0000
```



Arrangement ii

Entry from OQMD: an optimized crystal structure of LuBeCoPb (PBE).

Space-group type = F-43m (216)

```
4
Lattice="-0.8996 -3.5986 -2.6470 -3.3140 0.2372 -3.1187 1.0474 0.1140 -4.4335" Properties=species:S:1:pos:R:3 pbc="T T T"
Pb -1.5831 -1.6237 -5.0996
Lu 0.0000 0.0000 0.0000
Be -2.3747 -2.4355 -7.6494
Co -0.7916 -0.8118 -2.5498
```



Arrangement iii

Entry from OQMD: an optimized crystal structure of LuBeCoPb (PBE).

Space-group type = F-43m (216)

```
4
Lattice="-1.2386 -4.1370 -1.6177 -3.0377 -2.5716 2.3293 -4.2460 -0.6417 -1.6809" Properties=species:S:1:pos:R:3 pbc="T T T"
Be -6.3917 -5.5128 -0.7269
Pb -2.1306 -1.8376 -0.2423
Co -4.2611 -3.6752 -0.4846
Lu 0.0000 0.0000 0.0000
```



Relative energies with respect to the most stable structure, expressed in meV per atom: arrangement i 230; arrangement ii 0; arrangement iii 133.



Arrangement i

Entry from OQMD: an optimized crystal structure of LuBeCoSi (PBE).

Space-group type = F-43m (216)

```
4
Lattice="0.0000 3.0175 3.0175 3.0175 0.0000 3.0175 3.0175 3.0175 0.0000" Properties=species:S:1:pos:R:3 pbc="T T T"
Si 0.0000 0.0000 0.0000
Be 3.0175 3.0175 3.0175
Lu 1.5087 1.5087 1.5087
Co 4.5262 4.5262 4.5262
```



Arrangement ii

Entry from OQMD: an optimized crystal structure of LuBeCoSi (PBE).

Space-group type = F-43m (216)

```
4
Lattice="0.0000 2.9878 2.9878 2.9878 0.0000 2.9878 2.9878 2.9878 0.0000" Properties=species:S:1:pos:R:3 pbc="T T T"
Co 1.4939 1.4939 1.4939
Si 0.0000 0.0000 0.0000
Lu 2.9878 2.9878 2.9878
Be 4.4817 4.4817 4.4817
```



Relative energies with respect to the most stable structure, expressed in meV per atom: arrangement i 86; arrangement ii 0.



Arrangement i

Entry from OQMD: an optimized crystal structure of LuBeZnCo (PBE).

Space-group type = F-43m (216)

```
4
Lattice="0.0000 3.0653 3.0653 3.0653 0.0000 3.0653 3.0653 3.0653 0.0000" Properties=species:S:1:pos:R:3 pbc="T T T"
Be 3.0652 3.0652 3.0652
Lu 1.5326 1.5326 1.5326
Co 4.5979 4.5979 4.5979
Zn 0.0000 0.0000 0.0000
```



Arrangement ii

Entry from OQMD: an optimized crystal structure of LuBeZnCo (PBE).

Space-group type = F-43m (216)

```
4
Lattice="-2.7454 -0.7208 3.2966 -3.6633 2.3233 0.3275 -3.8473 -1.8882 -0.7465" Properties=species:S:1:pos:R:3 pbc="T T T"
Zn 0.0000 0.0000 0.0000
Be -2.5640 -0.0714 0.7194
Lu -5.1279 -0.1429 1.4388
Co -7.6919 -0.2143 2.1582
```



Relative energies with respect to the most stable structure, expressed in meV per atom: arrangement i 7; arrangement ii 0.



Arrangement i

Entry from OQMD: an optimized crystal structure of MgTaBeCo (PBE).

Space-group type = F-43m (216)

```
4
Lattice="0.0000 2.9845 2.9845 2.9845 0.0000 2.9845 2.9845 2.9845 0.0000" Properties=species:S:1:pos:R:3 pbc="T T T"
Mg 4.4768 4.4768 4.4768
Ta 2.9845 2.9845 2.9845
Be 0.0000 0.0000 0.0000
Co 1.4923 1.4923 1.4923
```



Arrangement ii

Entry from OQMD: an optimized crystal structure of MgTaBeCo (PBE).

Space-group type = F-43m (216)

```
4
Lattice="-2.9011 1.7672 2.5145 -1.9452 3.5575 -1.1927 -4.0811 -0.0881 -1.0948" Properties=species:S:1:pos:R:3 pbc="T T T"
Co 0.0000 0.0000 0.0000
Be -4.4637 2.6183 0.1135
Mg -6.6955 3.9274 0.1702
Ta -2.2318 1.3091 0.0567
```



Arrangement iii

Entry from OQMD: an optimized crystal structure of MgTaBeCo (PBE).

Space-group type = F-43m (216)

```
4
Lattice="0.0000 2.9936 2.9936 2.9936 0.0000 2.9936 2.9936 2.9936 0.0000" Properties=species:S:1:pos:R:3 pbc="T T T"
Ta 2.9936 2.9936 2.9936
Be 4.4903 4.4903 4.4903
Co 0.0000 0.0000 0.0000
Mg 1.4968 1.4968 1.4968
```



Relative energies with respect to the most stable structure, expressed in meV per atom: arrangement i 151; arrangement ii 0; arrangement iii 472.



Arrangement i

Entry from OQMD: an optimized crystal structure of BeCoMo (PBE).

Space-group type = F-43m (216)

```
3
Lattice="0.0000 2.6932 2.6932 2.6932 0.0000 2.6932 2.6932 2.6932 0.0000" Properties=species:S:1:pos:R:3 pbc="T T T"
Co 0.0000 0.0000 0.0000
Be 1.3466 1.3466 1.3466
Mo 4.0398 4.0398 4.0398
```



Arrangement ii

Entry from OQMD: an optimized crystal structure of BeCoMo (PBE).

Space-group type = F-43m (216)

```
3
Lattice="0.0000 2.7412 2.7412 2.7412 0.0000 2.7412 2.7412 2.7412 0.0000" Properties=species:S:1:pos:R:3 pbc="T T T"
Be 1.3706 1.3706 1.3706
Mo 0.0000 0.0000 0.0000
Co 4.1119 4.1119 4.1119
```



Relative energies with respect to the most stable structure, expressed in meV per atom: arrangement i 0; arrangement ii 525.



Arrangement i

Entry from OQMD: an optimized crystal structure of BeCoMoPb (PBE).

Space-group type = F-43m (216)

```
4
Lattice="0.0000 3.1076 3.1076 3.1076 0.0000 3.1076 3.1076 3.1076 0.0000" Properties=species:S:1:pos:R:3 pbc="T T T"
Pb 0.0000 0.0000 0.0000
Co 4.6613 4.6613 4.6613
Be 3.1076 3.1076 3.1076
Mo 1.5538 1.5538 1.5538
```



Arrangement ii

Entry from OQMD: an optimized crystal structure of BeCoMoPb (PBE).

Space-group type = F-43m (216)

```
4
Lattice="0.0000 3.0786 3.0786 3.0786 0.0000 3.0786 3.0786 3.0786 0.0000" Properties=species:S:1:pos:R:3 pbc="T T T"
Mo 3.0786 3.0786 3.0786
Pb 0.0000 0.0000 0.0000
Be 1.5393 1.5393 1.5393
Co 4.6179 4.6179 4.6179
```



Relative energies with respect to the most stable structure, expressed in meV per atom: arrangement i 92; arrangement ii 0.